# 1
Here is a geometry-optimized La3Tb3Sm8 structure from Alexandria via LeMat-Bulk. Energies are from PBE.

Computed properties:
The energy of formation is 0.117 eV per atom. For the density of states at the Fermi level, the calculation gives 39.2 states/eV/cell.

Lattice parameters (Å, degrees): 5.7265 10.9119 15.4739 90.00 90.00 90.00
Space group Immm (No. 71)
Unique sites:
1 La 0.0000 0.0000 0.0000 (multiplicity 2)
2 La 0.0000 0.3096 0.0000 (multiplicity 4)
3 Tb 0.0000 0.0000 0.5000 (multiplicity 2)
4 Tb 0.0000 0.5000 0.1876 (multiplicity 4)
5 Sm 0.0000 0.1591 0.2233 (multiplicity 8)
6 Sm 0.0000 0.3374 0.3965 (multiplicity 8)

***

# 2
Here is a geometry-optimized RbSn5 structure from Alexandria via LeMat-Bulk. Energies are from PBE.

Computed properties:
The energy of formation is 0.073 eV per atom. The calculation puts the polymorph energy (0 for the lowest one) at 158 meV/atom. For the density of states at the Fermi level, the calculation gives 6.8 states/eV/cell.

Lattice parameters (Å, degrees): 5.6063 15.5946 4.2038 90.00 90.00 90.00
Space group Cmmm (No. 65)
Unique sites:
1 Rb 0.0000 0.0000 0.0000 (multiplicity 2)
2 Sn 0.0000 0.1894 0.5000 (multiplicity 4)
3 Sn 0.0000 0.3381 0.0000 (multiplicity 4)
4 Sn 0.0000 0.5000 0.5000 (multiplicity 2)

***

# 3
Here is a geometry-optimized NiAg2Ru structure from Alexandria via LeMat-Bulk. Energies are from PBE.

Computed properties:
The energy of formation is 0.918 eV per atom. The calculation puts the polymorph energy (0 for the lowest one) at 651 meV/atom. For the density of states at the Fermi level, the calculation gives 20.4 states/eV/cell.

Lattice parameters (Å, degrees): 7.2256 7.2256 5.1982 90.00 90.00 90.00
Space group I-42d (No. 122)
Unique sites:
1 Ni 0.0000 0.0000 0.0000 (multiplicity 4)
2 Ag 0.2268 0.2500 0.1250 (multiplicity 8)
3 Ru 0.0000 0.0000 0.5000 (multiplicity 4)

***

# 4
Here is a geometry-optimized SrCaSb2 structure from Alexandria via LeMat-Bulk. Energies are from PBE.

Computed properties:
The calculation puts the polymorph energy (0 for the lowest one) at 68 meV/atom. The value obtained for the raw formation energy is -0.76 eV per atom. For the density of states at the Fermi level, the calculation gives 3.3 states/eV/cell.

Lattice parameters (Å, degrees): 3.6993 5.4880 6.6162 90.00 90.00 90.00
Space group Pmmm (No. 47)
Unique sites:
1 Sr 0.0000 0.0000 0.0000 (multiplicity 1)
2 Ca 0.5000 0.5000 0.5000 (multiplicity 1)
3 Sb 0.0000 0.0000 0.5000 (multiplicity 1)
4 Sb 0.5000 0.5000 0.0000 (multiplicity 1)

***

# 5
Here is a geometry-optimized Li2CeAgSe4 structure from Alexandria via LeMat-Bulk. Energies are from PBE.

Computed properties:
The value obtained for the raw formation energy is -1.03 eV per atom. For the density of states at the Fermi level, the calculation gives 14.0 states/eV/cell.

Lattice parameters (Å, degrees): 8.1060 10.8789 8.1062 90.00 90.00 90.00
Space group Fmm2 (No. 42)
Unique sites:
1 Li 0.2500 0.2500 0.0000 (multiplicity 8)
2 Ce 0.0000 0.0000 0.2507 (multiplicity 4)
3 Ag 0.0000 0.0000 0.7512 (multiplicity 4)
4 Se 0.0000 0.2471 0.7508 (multiplicity 8)
5 Se 0.2502 0.0000 0.0009 (multiplicity 8)

***

# 6
Here is a geometry-optimized Nb2CuTcN structure from Alexandria via LeMat-Bulk. Energies are from PBE.

Computed properties:
The value obtained for the raw formation energy is -0.24 eV per atom. For the density of states at the Fermi level, the calculation gives 3.9 states/eV/cell.

Lattice parameters (Å, degrees): 4.2373 4.2373 3.9866 90.00 90.00 90.00
Space group P4/mmm (No. 123)
Unique sites:
1 Nb 0.0000 0.5000 0.0000 (multiplicity 2)
2 Cu 0.0000 0.0000 0.5000 (multiplicity 1)
3 Tc 0.5000 0.5000 0.5000 (multiplicity 1)
4 N 0.5000 0.5000 0.0000 (multiplicity 1)

***

# 7
Here is a geometry-optimized CsPdCl structure from Alexandria via LeMat-Bulk. Energies are from PBE.

Computed properties:
The calculation puts the polymorph energy (0 for the lowest one) at 0 meV/atom. The value obtained for the raw formation energy is -0.84 eV per atom. For the density of states at the Fermi level, the calculation gives 0.0 states/eV/cell.

Lattice parameters (Å, degrees): 5.1739 5.6108 7.8882 89.98 71.05 89.94
Space group P-1 (No. 2)
Unique sites:
1 Cs 0.1309 0.2497 0.2367 (multiplicity 2)
2 Pd 0.5000 0.0000 0.5000 (multiplicity 1)
3 Pd 0.5000 0.5000 0.5000 (multiplicity 1)
4 Cl 0.3710 0.2501 0.7608 (multiplicity 2)

***

# 8
Here is a geometry-optimized SrGdAlTl structure from Alexandria via LeMat-Bulk. Energies are from PBE.

Computed properties:
The energy of formation is -0.244 eV per atom. For the density of states at the Fermi level, the calculation gives 16.4 states/eV/cell.

Lattice parameters (Å, degrees): 7.7522 7.7522 7.7522 90.00 90.00 90.00
Space group F-43m (No. 216)
Unique sites:
1 Sr 0.0000 0.0000 0.0000 (multiplicity 4)
2 Gd 0.0000 0.0000 0.5000 (multiplicity 4)
3 Al 0.2500 0.2500 0.7500 (multiplicity 4)
4 Tl 0.2500 0.2500 0.2500 (multiplicity 4)

***

# 9
Here is a geometry-optimized InCoAs2 structure from Alexandria via LeMat-Bulk. Energies are from PBE.

Computed properties:
The energy of formation is -0.043 eV per atom. For the density of states at the Fermi level, the calculation gives 7.0 states/eV/cell.

Lattice parameters (Å, degrees): 6.4660 3.6897 6.8170 90.00 108.13 90.00
Space group C2/m (No. 12)
Unique sites:
1 In 0.0000 0.0000 0.0000 (multiplicity 2)
2 Co 0.0000 0.5000 0.5000 (multiplicity 2)
3 As 0.2228 0.0000 0.6655 (multiplicity 4)

***

# 10
Here is a geometry-optimized CaPm3Ir2 structure from Alexandria via LeMat-Bulk. Energies are from PBE.

Computed properties:
The energy of formation is -0.537 eV per atom. The calculation puts the polymorph energy (0 for the lowest one) at 0 meV/atom. For the density of states at the Fermi level, the calculation gives 10.7 states/eV/cell.

Lattice parameters (Å, degrees): 4.7820 8.8256 7.4591 90.00 90.00 90.00
Space group Pmc2_1 (No. 26)
Unique sites:
1 Ca 0.0000 0.0856 0.0000 (multiplicity 2)
2 Pm 0.0000 0.3306 0.6298 (multiplicity 2)
3 Pm 0.5000 0.1670 0.3407 (multiplicity 2)
4 Pm 0.5000 0.4164 0.9722 (multiplicity 2)
5 Ir 0.0000 0.3519 0.2438 (multiplicity 2)
6 Ir 0.5000 0.1634 0.7305 (multiplicity 2)

***

# 11
Here is a geometry-optimized YNbCd2Sn structure from Alexandria via LeMat-Bulk. Energies are from PBE.

Computed properties:
The energy of formation is 1.219 eV per atom. For the density of states at the Fermi level, the calculation gives 5.0 states/eV/cell.

Lattice parameters (Å, degrees): 5.6486 5.6486 5.0255 90.00 90.00 90.00
Space group P4/mmm (No. 123)
Unique sites:
1 Y 0.0000 0.0000 0.0000 (multiplicity 1)
2 Nb 0.0000 0.0000 0.5000 (multiplicity 1)
3 Cd 0.0000 0.5000 0.0000 (multiplicity 2)
4 Sn 0.5000 0.5000 0.5000 (multiplicity 1)

***

# 12
Here is a geometry-optimized Li2VOsPt structure from Alexandria via LeMat-Bulk. Energies are from PBE.

Computed properties:
The energy of formation is 0.966 eV per atom. For the density of states at the Fermi level, the calculation gives 6.1 states/eV/cell.

Lattice parameters (Å, degrees): 4.1954 4.1954 4.9420 90.00 90.00 90.00
Space group P4/mmm (No. 123)
Unique sites:
1 Li 0.0000 0.5000 0.0000 (multiplicity 2)
2 V 0.0000 0.0000 0.5000 (multiplicity 1)
3 Os 0.5000 0.5000 0.5000 (multiplicity 1)
4 Pt 0.5000 0.5000 0.0000 (multiplicity 1)

***

| no. | VASP energy (eV per atom) |
| --- | --- |
| 1 | -4.63 |
| 2 | -3.42 |
| 3 | -4.27 |
| 4 | -3.74 |
| 5 | -4.35 |
| 6 | -8.83 |
| 7 | -3.47 |
| 8 | -5.71 |
| 9 | -4.83 |
| 10 | -6.20 |
| 11 | -3.25 |
| 12 | -5.08 |